Entry 1:
A plane-wave DFT calculation with GGA-PBE was carried out for a relaxed structure of BaPd.

Properties
total energy	-0.280	Ry/atom
total magnetization	0.00	μB/cell
space-group type	P6_3/mmc

Cell lengths 5.4748, 5.4748, 6.5266 Å; angles 90.00, 90.00, 120.00 degrees
Closest atoms and distances in Å follow each position.
Sites, in units of the cell vectors:
Ba 0.3333 0.6667 0.2500  5 Pd 3.16-3.26
Ba 0.6667 0.3333 0.7500  5 Pd 3.16-3.26
Pd 0.3333 0.6667 0.7500  5 Ba 3.16-3.26
Pd 0.6667 0.3333 0.2500  5 Ba 3.16-3.26

---

Entry 2:
A plane-wave DFT calculation with GGA-PBE was carried out for a relaxed structure of NaTl5Sb2.

Properties
total energy	-0.200	Ry/atom
E above lowest polymorph	0.009	eV/atom
total magnetization	0.00	μB/cell
space-group type	P2_1/m
energy relative to the elements, uncorrected	-4.9	kJ/mol of atoms

Cell lengths 5.6084, 14.3948, 6.6627 Å; angles 90.00, 112.61, 90.00 degrees
Closest atoms and distances in Å follow each position.
Sites, in units of the cell vectors:
Na 0.1838 0.2500 0.4613  4 Sb 3.19, 5 Tl 3.35-3.44
Na 0.8162 0.7500 0.5387  4 Sb 3.19, 5 Tl 3.35-3.44
Tl 0.0390 0.7500 0.0966  2 Sb 3.28, 4 Tl 3.41-3.45, 2 Na 3.44-3.62
Tl 0.1010 0.0331 0.2624  3 Sb 3.20-3.44, 1 Na 3.35, 1 Tl 3.37
Tl 0.1010 0.4669 0.2624  3 Sb 3.20-3.44, 1 Na 3.35, 1 Tl 3.37
Tl 0.4671 0.1130 0.9088  1 Sb 3.28, 5 Tl 3.41-3.62, 1 Na 3.42
Tl 0.4671 0.3870 0.9088  1 Sb 3.28, 5 Tl 3.41-3.62, 1 Na 3.42
Tl 0.5329 0.6130 0.0912  1 Sb 3.28, 5 Tl 3.41-3.62, 1 Na 3.42
Tl 0.5329 0.8870 0.0912  1 Sb 3.28, 5 Tl 3.41-3.62, 1 Na 3.42
Tl 0.8990 0.5331 0.7376  3 Sb 3.20-3.44, 1 Na 3.35, 1 Tl 3.37
Tl 0.8990 0.9669 0.7376  3 Sb 3.20-3.44, 1 Na 3.35, 1 Tl 3.37
Tl 0.9610 0.2500 0.9034  2 Sb 3.28, 4 Tl 3.41-3.45, 2 Na 3.44-3.62
Sb 0.3283 0.6447 0.5647  1 Sb 3.03, 2 Na 3.19, 4 Tl 3.20-3.36
Sb 0.3283 0.8553 0.5647  1 Sb 3.03, 2 Na 3.19, 4 Tl 3.20-3.36
Sb 0.6717 0.1447 0.4353  1 Sb 3.03, 2 Na 3.19, 4 Tl 3.20-3.36
Sb 0.6717 0.3553 0.4353  1 Sb 3.03, 2 Na 3.19, 4 Tl 3.20-3.36

---

Entry 3:
A plane-wave DFT calculation with GGA-PBE was carried out for a relaxed structure of YTlZn.

Properties
total energy	-0.248	Ry/atom
total magnetization	0.00	μB/cell
space-group type	R-3m

Cell lengths 8.2570, 8.2570, 8.2570 Å; angles 34.36, 34.36, 34.36 degrees
Closest atoms and distances in Å follow each position.
Sites, in units of the cell vectors:
Y 0.0834 0.0834 0.0834  4 Zn 2.82-3.01, 3 Tl 3.11
Y 0.9166 0.9166 0.9166  4 Zn 2.82-3.01, 3 Tl 3.11
Tl 0.3604 0.3604 0.3604  3 Tl 3.09, 3 Y 3.11
Tl 0.6396 0.6396 0.6396  3 Tl 3.09, 3 Y 3.11
Zn 0.2046 0.2046 0.2046  4 Y 2.82-3.01
Zn 0.7954 0.7954 0.7954  4 Y 2.82-3.01